# 1
The following is a DFT calculation (PBE-GGA) of a geometry-optimized BaSrAl2Ge2 structure.

```
data_BaSrAl2Ge2
_chemical_formula_sum 'Ba1 Sr1 Al2 Ge2'
_cell_length_a 4.3398
_cell_length_b 4.3398
_cell_length_c 10.0196
_cell_angle_alpha 90.00
_cell_angle_beta 90.00
_cell_angle_gamma 120.00
_space_group_name_H-M_alt 'P -3 m 1'
_space_group_IT_number 164
_space_group_name_Hall '-P 3 2"'
loop_
_atom_site_label
_atom_site_type_symbol
_atom_site_fract_x
_atom_site_fract_y
_atom_site_fract_z
Ba1 Ba 0.0000 0.0000 0.0000
Sr1 Sr 0.0000 0.0000 0.5000
Al1 Al 0.3333 0.6667 0.7499
Ge1 Ge 0.3333 0.6667 0.2731
```

Values from the calculation:
DFT total energy, eV per atom: -3.859
D(E_F), states/eV/f.u.: 3.72
ΔH_f (0 K), eV/atom: -0.471
V, Å³/cell: 163.4



# 2
The following is a DFT calculation (PBE-GGA) of a geometry-optimized Ba2AlTlGe structure.

```
data_Ba2AlTlGe
_chemical_formula_sum 'Ba2 Al1 Tl1 Ge1'
_cell_length_a 6.5143
_cell_length_b 6.5143
_cell_length_c 4.7841
_cell_angle_alpha 90.00
_cell_angle_beta 90.00
_cell_angle_gamma 90.00
_space_group_name_H-M_alt 'P 4/m m m'
_space_group_IT_number 123
_space_group_name_Hall '-P 4 2'
loop_
_atom_site_label
_atom_site_type_symbol
_atom_site_fract_x
_atom_site_fract_y
_atom_site_fract_z
Ba1 Ba 0.0000 0.5000 0.0000
Al1 Al 0.0000 0.0000 0.0000
Tl1 Tl 0.5000 0.5000 0.5000
Ge1 Ge 0.0000 0.0000 0.5000
```

Values from the calculation:
DFT total energy, eV per atom: -2.895
D(E_F), states/eV/f.u.: 7.25
ΔH_f (0 K), eV/atom: 0.019
V, Å³/cell: 203.0